w.
# Y2PbW | Alexandria | PBE-GGA | optimized geometry
# Mass density in g cm⁻³: 9.66
# V in Å³/cell: 97.8
# Fermi-level density of states in states/eV per atom: 0.890
data_Y2PbW
_space_group_name_H-M_alt 'P 1'
_space_group_IT_number 1
_cell_length_a 5.171
_cell_length_b 5.171
_cell_length_c 5.171
_cell_angle_alpha 60.00
_cell_angle_beta 60.00
_cell_angle_gamma 60.00
loop_
_space_group_symop_operation_xyz
'x,y,z'
loop_
_atom_site_label
_atom_site_type_symbol
_atom_site_fract_x
_atom_site_fract_y
_atom_site_fract_z
Pb1 Pb 0.500 0.500 0.500
Y1 Y 0.250 0.250 0.250
Y2 Y 0.750 0.750 0.750
W1 W 0.000 0.000 0.000

x.
# Y2PbW | Alexandria | PBE-GGA | optimized geometry
# Mass density in g cm⁻³: 9.96
# V in Å³/cell: 94.8
# Fermi-level density of states in states/eV per atom: 0.353
data_Y2PbW
_space_group_name_H-M_alt 'P 1'
_space_group_IT_number 1
_cell_length_a 5.118
_cell_length_b 5.118
_cell_length_c 5.118
_cell_angle_alpha 60.00
_cell_angle_beta 60.00
_cell_angle_gamma 60.00
loop_
_space_group_symop_operation_xyz
'x,y,z'
loop_
_atom_site_label
_atom_site_type_symbol
_atom_site_fract_x
_atom_site_fract_y
_atom_site_fract_z
Pb1 Pb 0.500 0.500 0.500
W1 W 0.750 0.750 0.750
Y1 Y 0.000 0.000 0.000
Y2 Y 0.250 0.250 0.250

Here are the energies relative to the best structure, in eV/atom: w 0.000; x 0.170.

w.
# Y2PbW | Alexandria | PBE-GGA | optimized geometry
# Mass density in g cm⁻³: 9.16
# V in Å³/cell: 103.2
# Fermi-level density of states in states/eV per atom: 1.431
data_Y2PbW
_space_group_name_H-M_alt 'P 1'
_space_group_IT_number 1
_cell_length_a 10.223
_cell_length_b 10.223
_cell_length_c 10.223
_cell_angle_alpha 19.41
_cell_angle_beta 19.41
_cell_angle_gamma 19.41
loop_
_space_group_symop_operation_xyz
'x,y,z'
loop_
_atom_site_label
_atom_site_type_symbol
_atom_site_fract_x
_atom_site_fract_y
_atom_site_fract_z
Pb1 Pb 0.250 0.250 0.250
W1 W 0.750 0.750 0.750
Y1 Y 0.009 0.009 0.009
Y2 Y 0.491 0.491 0.491

x.
# Y2PbW | Alexandria | PBE-GGA | optimized geometry
# Mass density in g cm⁻³: 9.33
# V in Å³/cell: 101.3
# Fermi-level density of states in states/eV per atom: 0.988
data_Y2PbW
_space_group_name_H-M_alt 'P 1'
_space_group_IT_number 1
_cell_length_a 3.713
_cell_length_b 3.713
_cell_length_c 7.348
_cell_angle_alpha 90.00
_cell_angle_beta 90.00
_cell_angle_gamma 90.00
loop_
_space_group_symop_operation_xyz
'x,y,z'
loop_
_atom_site_label
_atom_site_type_symbol
_atom_site_fract_x
_atom_site_fract_y
_atom_site_fract_z
Pb1 Pb 0.000 0.000 0.534
W1 W 0.500 0.500 0.716
Y1 Y 0.000 0.000 0.962
Y2 Y 0.500 0.500 0.287

Here are the energies relative to the best structure, in eV/atom: w 0.000; x 0.049.

w.
# Y2PbW2 | Alexandria | PBE-GGA | optimized geometry
# Mass density in g cm⁻³: 9.39
# V in Å³/cell: 133.1
# Fermi-level density of states in states/eV per atom: 1.599
data_Y2PbW2
_space_group_name_H-M_alt 'P 1'
_space_group_IT_number 1
_cell_length_a 4.691
_cell_length_b 4.691
_cell_length_c 6.897
_cell_angle_alpha 70.12
_cell_angle_beta 70.12
_cell_angle_gamma 90.00
loop_
_space_group_symop_operation_xyz
'x,y,z'
loop_
_atom_site_label
_atom_site_type_symbol
_atom_site_fract_x
_atom_site_fract_y
_atom_site_fract_z
Pb1 Pb 0.000 0.000 0.000
Y1 Y 0.750 0.250 0.500
Y2 Y 0.250 0.750 0.500
W1 W 0.407 0.407 0.186
W2 W 0.593 0.593 0.814

x.
# Y2PbW2 | Alexandria | PBE-GGA | optimized geometry
# Mass density in g cm⁻³: 10.30
# V in Å³/cell: 242.7
# Fermi-level density of states in states/eV per atom: 0.697
data_Y2PbW2
_space_group_name_H-M_alt 'P 1'
_space_group_IT_number 1
_cell_length_a 7.331
_cell_length_b 7.331
_cell_length_c 4.517
_cell_angle_alpha 90.00
_cell_angle_beta 90.00
_cell_angle_gamma 90.00
loop_
_space_group_symop_operation_xyz
'x,y,z'
loop_
_atom_site_label
_atom_site_type_symbol
_atom_site_fract_x
_atom_site_fract_y
_atom_site_fract_z
Pb1 Pb 0.000 0.000 0.000
Pb2 Pb 0.500 0.500 0.000
Y1 Y 0.173 0.673 0.500
Y2 Y 0.673 0.827 0.500
Y3 Y 0.827 0.327 0.500
Y4 Y 0.327 0.173 0.500
W1 W 0.385 0.885 0.000
W2 W 0.885 0.615 0.000
W3 W 0.615 0.115 0.000
W4 W 0.115 0.385 0.000

Here are the energies relative to the best structure, in eV/atom: w 0.772; x 0.000.